1.
First-principles (GGA-PBE) data for AgOs after structural relaxation, as listed in Alexandria via LeMat-Bulk.

Output
Its symmetry is R3m. The calculation puts the relative energy among the computed polymorphs at 1 meV/atom.

Cell and atoms, written as POSCAR:
```
AgOs
1.0
2.789 0.000 0.000
-1.395 2.415 0.000
0.000 0.000 28.432
Os Ag
6 6
Direct
0.333 0.667 0.376
0.000 0.000 0.305
0.000 0.000 0.710
0.333 0.667 0.972
0.667 0.333 0.639
0.667 0.333 0.043
0.667 0.333 0.464
0.667 0.333 0.885
0.000 0.000 0.130
0.333 0.667 0.797
0.000 0.000 0.552
0.333 0.667 0.218
```



2.
First-principles (GGA-PBE) data for AgOs5 after structural relaxation, as listed in Alexandria via LeMat-Bulk.

Output
Its symmetry is F-43m. The calculation puts the relative energy among the computed polymorphs at 625 meV/atom.

Cell and atoms, written as POSCAR:
```
AgOs5
1.0
0.000 3.627 3.627
3.627 0.000 3.627
3.627 3.627 0.000
Os Ag
5 1
Direct
0.375 0.375 0.874
0.750 0.750 0.750
0.375 0.874 0.375
0.874 0.375 0.375
0.375 0.375 0.375
0.000 0.000 0.000
```